VASP calculation (PBE) on a geometry-optimized MoS2I structure.

a b c (Å): 6.563 6.563 6.563
angles (deg): 90.00 90.00 90.00
Space group Fm-3m (No. 225)
Inequivalent atoms, fractional coordinates:
Mo: 0.000 0.000 0.000
S: 0.250 0.250 0.250
I: 0.000 0.000 0.500

Properties
The calculation puts the density of states at the Fermi level at 9.8 states/eV per cell. The raw formation energy comes out at 822 meV/atom. As for the energy above the most stable polymorph in this dataset: 455.1 kJ/mol of formula units.